# ZrTePd2 | the Alexandria database | GGA-PBE | optimized geometry
data_ZrTePd2
_chemical_formula_sum 'Zr4 Te4 Pd8'
_symmetry_space_group_name_H-M 'I -4 2 d'
_symmetry_Int_Tables_number 122
_symmetry_space_group_name_Hall 'I -4 2bw'
_cell_length_a 4.119
_cell_length_b 4.119
_cell_length_c 19.278
_cell_angle_alpha 90.00
_cell_angle_beta 90.00
_cell_angle_gamma 90.00
loop_
_atom_site_label
_atom_site_type_symbol
_atom_site_fract_x
_atom_site_fract_y
_atom_site_fract_z
Zr1 Zr 0.000 0.000 0.000
Te1 Te 0.000 0.000 0.500
Pd1 Pd 0.246 0.250 0.125
# Crystal system: tetragonal
# Raw formation energy: -0.371 eV per atom
# Uncorrected energy: -5.8895 eV per atom
# V: 20.4 A^3/atom